1.
# TaZnN2

Crystalline TaZnN2 at its relaxed geometry (PBE, Alexandria via LeMat-Bulk).

The structure belongs to space group R-3m (No. 166, hexagonal axes); the cell edges are 3.1212, 3.1212 and 18.3674 Å and the angles 90.00°, 90.00° and 120.00°. The asymmetric unit holds Ta at (0.0000, 0.0000, 0.0000), Zn at (0.0000, 0.0000, 0.5000) and N at (0.0000, 0.0000, 0.3950).

The energy relative to the elements, uncorrected is -0.506 eV/atom. As for the uncorrected energy: -7.95 eV/atom. For the volume, the calculation gives 12.913 A^3/atom.

***

2.
# Ta2ZnN4

Crystalline Ta2ZnN4 at its relaxed geometry (PBE, Alexandria via LeMat-Bulk).

The structure belongs to space group Fd-3m (No. 227, origin choice 2); the cell edges are 8.793, 8.793 and 8.793 Å and the angles 90.00°, 90.00° and 90.00°. The asymmetric unit holds Ta at (0.000, 0.000, 0.000), Zn at (0.125, 0.125, 0.625) and N at (0.011, 0.011, 0.239).

The energy relative to the elements, uncorrected is -0.789 eV/atom. As for the uncorrected energy: -9.11 eV/atom. For the volume, the calculation gives 12.141 A^3/atom.

***

3.
# Ta6ZnN

Crystalline Ta6ZnN at its relaxed geometry (PBE, Alexandria via LeMat-Bulk).

The structure belongs to space group P-1 (No. 2); the cell edges are 5.606, 5.609 and 5.950 Å and the angles 118.01°, 90.08° and 119.97°. The asymmetric unit holds Ta at (0.012, 0.443, 0.231), Ta at (0.213, 0.202, 0.769), Ta at (0.434, 0.220, 0.230), Zn at (0.500, 0.000, 0.500) and N at (0.000, 0.000, 0.000).

The energy relative to the elements, uncorrected is 0.065 eV/atom. As for the uncorrected energy: -10.02 eV/atom. For the volume, the calculation gives 17.014 A^3/atom.